No. 1
A plane-wave DFT calculation with GGA-PBE was carried out for Pr2DyTh3Sb6 after structural relaxation.

CIF file:
```
data_Pr2DyTh3Sb6
_chemical_formula_sum 'Pr2 Dy1 Th3 Sb6'
_space_group_name_H-M_alt 'P 1'
_space_group_IT_number 1
_space_group_name_Hall 'P 1'
_cell_length_a 4.507
_cell_length_b 8.994
_cell_length_c 10.072
_cell_angle_alpha 102.85
_cell_angle_beta 102.93
_cell_angle_gamma 90.00
loop_
_atom_site_label
_atom_site_fract_x
_atom_site_fract_y
_atom_site_fract_z
Th1 0.168 0.834 0.337
Th2 0.832 0.166 0.663
Th3 0.500 0.500 0.000
Pr1 0.834 0.667 0.667
Pr2 0.166 0.333 0.333
Sb1 0.666 0.585 0.332
Sb2 0.334 0.415 0.668
Sb3 0.998 0.244 0.997
Sb4 0.664 0.080 0.328
Sb5 0.002 0.756 0.003
Sb6 0.336 0.920 0.672
Dy1 0.500 0.000 0.000
```

Summary:
ΔE_f (raw) = -12.57 eV/f.u.
crystal system = monoclinic



No. 2
A plane-wave DFT calculation with GGA-PBE was carried out for LiZnPd after structural relaxation.

CIF file:
```
data_LiZnPd
_chemical_formula_sum 'Li1 Zn1 Pd1'
_space_group_name_H-M_alt 'P 1'
_space_group_IT_number 1
_space_group_name_Hall 'P 1'
_cell_length_a 2.757
_cell_length_b 4.191
_cell_length_c 4.191
_cell_angle_alpha 120.00
_cell_angle_beta 90.00
_cell_angle_gamma 90.00
loop_
_atom_site_label
_atom_site_fract_x
_atom_site_fract_y
_atom_site_fract_z
Zn1 0.292 0.333 0.667
Pd1 0.697 0.667 0.333
Li1 0.011 0.000 0.000
```

Summary:
energy relative to the elements = -10.4 kcal/mol of atoms
crystal system = trigonal
energy above the most stable polymorph in this dataset = 0.027 eV/atom



No. 3
A plane-wave DFT calculation with GGA-PBE was carried out for TaCr2Hg after structural relaxation.

CIF file:
```
data_TaCr2Hg
_chemical_formula_sum 'Ta1 Cr2 Hg1'
_space_group_name_H-M_alt 'P 1'
_space_group_IT_number 1
_space_group_name_Hall 'P 1'
_cell_length_a 4.516
_cell_length_b 4.516
_cell_length_c 4.516
_cell_angle_alpha 60.00
_cell_angle_beta 60.00
_cell_angle_gamma 60.00
loop_
_atom_site_label
_atom_site_fract_x
_atom_site_fract_y
_atom_site_fract_z
Cr1 0.000 0.000 0.000
Cr2 0.250 0.250 0.250
Hg1 0.500 0.500 0.500
Ta1 0.750 0.750 0.750
```

Summary:
energy relative to the elements = 13.9 kcal/mol of atoms
crystal system = cubic



No. 4
A plane-wave DFT calculation with GGA-PBE was carried out for Li2YHf after structural relaxation.

CIF file:
```
data_Li2YHf
_chemical_formula_sum 'Li4 Y2 Hf2'
_space_group_name_H-M_alt 'P 1'
_space_group_IT_number 1
_space_group_name_Hall 'P 1'
_cell_length_a 5.138
_cell_length_b 3.324
_cell_length_c 10.900
_cell_angle_alpha 90.00
_cell_angle_beta 90.89
_cell_angle_gamma 90.00
loop_
_atom_site_label
_atom_site_fract_x
_atom_site_fract_y
_atom_site_fract_z
Hf1 0.346 0.000 0.166
Hf2 0.849 0.500 0.236
Li1 0.854 0.500 0.699
Li2 0.337 0.500 0.914
Li3 0.356 0.000 0.703
Li4 0.857 0.000 0.488
Y1 0.355 0.500 0.422
Y2 0.840 0.000 0.980
```

Summary:
energy relative to the elements = 2.4 kcal/mol of atoms
crystal system = monoclinic
energy above the most stable polymorph in this dataset = 0.027 eV/atom



No. 5
A plane-wave DFT calculation with GGA-PBE was carried out for BeAuCl2 after structural relaxation.

CIF file:
```
data_BeAuCl2
_chemical_formula_sum 'Be1 Au1 Cl2'
_space_group_name_H-M_alt 'P 1'
_space_group_IT_number 1
_space_group_name_Hall 'P 1'
_cell_length_a 2.914
_cell_length_b 2.914
_cell_length_c 10.708
_cell_angle_alpha 90.00
_cell_angle_beta 90.00
_cell_angle_gamma 90.00
loop_
_atom_site_label
_atom_site_fract_x
_atom_site_fract_y
_atom_site_fract_z
Cl1 0.000 0.000 0.883
Cl2 0.000 0.000 0.617
Au1 0.500 0.500 0.250
Be1 0.500 0.500 0.750
```

Summary:
ΔE_f (raw) = -0.02 eV/f.u.
crystal system = tetragonal
energy above the most stable polymorph in this dataset = 0.631 eV/atom



No. 6
A plane-wave DFT calculation with GGA-PBE was carried out for RbBeSi after structural relaxation.

CIF file:
```
data_RbBeSi
_chemical_formula_sum 'Rb2 Be2 Si2'
_space_group_name_H-M_alt 'P 1'
_space_group_IT_number 1
_space_group_name_Hall 'P 1'
_cell_length_a 4.283
_cell_length_b 4.281
_cell_length_c 11.208
_cell_angle_alpha 86.93
_cell_angle_beta 86.50
_cell_angle_gamma 61.12
loop_
_atom_site_label
_atom_site_fract_x
_atom_site_fract_y
_atom_site_fract_z
Si1 0.760 0.758 0.430
Si2 0.240 0.242 0.570
Rb1 0.847 0.859 0.801
Rb2 0.153 0.141 0.199
Be1 0.252 0.748 0.500
Be2 0.748 0.252 0.500
```

Summary:
ΔE_f (raw) = 0.43 eV/f.u.
crystal system = triclinic
energy above the most stable polymorph in this dataset = 0.044 eV/atom



No. 7
A plane-wave DFT calculation with GGA-PBE was carried out for Y5Sn2Sb2 after structural relaxation.

CIF file:
```
data_Y5Sn2Sb2
_chemical_formula_sum 'Y10 Sn4 Sb4'
_space_group_name_H-M_alt 'P 1'
_space_group_IT_number 1
_space_group_name_Hall 'P 1'
_cell_length_a 8.170
_cell_length_b 8.138
_cell_length_c 8.732
_cell_angle_alpha 117.78
_cell_angle_beta 90.00
_cell_angle_gamma 90.00
loop_
_atom_site_label
_atom_site_fract_x
_atom_site_fract_y
_atom_site_fract_z
Sb1 0.000 0.797 0.595
Sb2 0.500 0.297 0.595
Sb3 0.500 0.703 0.405
Sb4 0.000 0.203 0.405
Y1 0.336 0.969 0.271
Y2 0.664 0.031 0.729
Y3 0.336 0.699 0.729
Y4 0.000 0.000 0.000
Y5 0.164 0.469 0.271
Y6 0.664 0.301 0.271
Y7 0.836 0.531 0.729
Y8 0.164 0.199 0.729
Y9 0.836 0.801 0.271
Y10 0.500 0.500 0.000
Sn1 0.636 0.864 0.000
Sn2 0.364 0.136 0.000
Sn3 0.136 0.636 0.000
Sn4 0.864 0.364 0.000
```

Summary:
ΔE_f (raw) = -8.56 eV/f.u.
crystal system = orthorhombic



No. 8
A plane-wave DFT calculation with GGA-PBE was carried out for Pm2Dy5YSc after structural relaxation.

CIF file:
```
data_Pm2Dy5YSc
_chemical_formula_sum 'Pm4 Dy10 Y2 Sc2'
_space_group_name_H-M_alt 'P 1'
_space_group_IT_number 1
_space_group_name_Hall 'P 1'
_cell_length_a 8.504
_cell_length_b 8.504
_cell_length_c 9.911
_cell_angle_alpha 115.41
_cell_angle_beta 115.41
_cell_angle_gamma 90.00
loop_
_atom_site_label
_atom_site_fract_x
_atom_site_fract_y
_atom_site_fract_z
Pm1 0.880 0.620 0.000
Pm2 0.380 0.880 0.000
Pm3 0.120 0.380 0.000
Pm4 0.620 0.120 0.000
Dy1 0.567 0.648 0.715
Dy2 0.352 0.852 0.285
Dy3 0.433 0.352 0.285
Dy4 0.648 0.148 0.715
Dy5 0.067 0.567 0.715
Dy6 0.500 0.500 0.000
Dy7 0.148 0.067 0.715
Dy8 0.933 0.433 0.285
Dy9 0.000 0.000 0.000
Dy10 0.852 0.933 0.285
Y1 0.750 0.750 0.500
Y2 0.250 0.250 0.500
Sc1 0.250 0.750 0.500
Sc2 0.750 0.250 0.500
```

Summary:
energy relative to the elements = 6.4 kcal/mol of atoms
crystal system = tetragonal